Record 1
A relaxed BaTiBiPb2 crystal. Source: the Alexandria database, functional PBE-GGA.

Lattice parameters (Å, degrees): 5.5044 5.5044 5.5360 90.00 90.00 90.00
With the nearest neighbours (Å) after each atom.
Fractional positions:
Ba 0.0000 0.0000 0.0000  4 Bi 3.89, 8 Pb 3.90
Ti 0.5000 0.5000 0.5000  4 Pb 2.75, 2 Bi 2.77
Bi 0.5000 0.5000 0.0000  2 Ti 2.77
Pb 0.0000 0.5000 0.5000  2 Ti 2.75
Pb 0.5000 0.0000 0.5000  2 Ti 2.75

Properties
E_tot   -4.478 eV/atom
Crystal system   tetragonal
Spin magnetization   0.000 μB per formula unit

Record 2
A relaxed BaTi2BiPb crystal. Source: the Alexandria database, functional PBE-GGA.

Lattice parameters (Å, degrees): 5.3683 5.3683 6.2380 90.00 90.00 90.00
With the nearest neighbours (Å) after each atom.
Fractional positions:
Ba 0.0000 0.0000 0.0000  4 Bi 3.80, 8 Ti 4.11
Ti 0.0000 0.5000 0.5000  2 Pb 2.68
Ti 0.5000 0.0000 0.5000  2 Pb 2.68
Bi 0.5000 0.5000 0.0000  2 Pb 3.12
Pb 0.5000 0.5000 0.5000  4 Ti 2.68

Properties
E_tot   -4.455 eV/atom
Crystal system   tetragonal
Spin magnetization   3.704 μB per formula unit

Record 3
A relaxed Ba3Tl4Bi2Pb2 crystal. Source: the Alexandria database, functional PBE-GGA.

Lattice parameters (Å, degrees): 16.5557 16.5557 16.5557 162.28 162.28 25.17
With the nearest neighbours (Å) after each atom.
Fractional positions:
Ba 0.0000 0.0000 0.0000  8 Pb 3.89
Ba 0.2007 0.2007 0.0000  5 Bi 3.64, 4 Tl 3.85
Ba 0.7993 0.7993 0.0000  5 Bi 3.64, 4 Tl 3.85
Tl 0.1117 0.6117 0.5000  2 Pb 3.34, 2 Bi 3.51, 4 Tl 3.61
Tl 0.3883 0.8883 0.5000  2 Pb 3.34, 2 Bi 3.51, 4 Tl 3.61
Tl 0.6117 0.1117 0.5000  2 Pb 3.34, 2 Bi 3.51, 4 Tl 3.61
Tl 0.8883 0.3883 0.5000  2 Pb 3.34, 2 Bi 3.51, 4 Tl 3.61
Bi 0.3135 0.3135 0.0000  4 Tl 3.51, 5 Ba 3.64
Bi 0.6865 0.6865 0.0000  4 Tl 3.51, 5 Ba 3.64
Pb 0.4551 0.4551 0.0000  1 Pb 2.90
Pb 0.5449 0.5449 0.0000  1 Pb 2.90

Properties
E_tot   -3.130 eV/atom
Crystal system   tetragonal
Spin magnetization   0.000 μB per formula unit

Record 4
A relaxed Ba3Tl2Bi4Pb2 crystal. Source: the Alexandria database, functional PBE-GGA.

Lattice parameters (Å, degrees): 5.5444 5.5444 16.5807 90.00 90.00 120.00
With the nearest neighbours (Å) after each atom.
Fractional positions:
Ba 0.0000 0.0000 0.0000  6 Bi 3.87, 6 Tl 4.05
Ba 0.0000 0.0000 0.2642  6 Bi 3.67-3.89, 3 Tl 3.72
Ba 0.0000 0.0000 0.7358  6 Bi 3.67-3.89, 3 Tl 3.72
Tl 0.3333 0.6667 0.1499  3 Bi 3.22
Tl 0.6667 0.3333 0.8501  3 Bi 3.22
Bi 0.3333 0.6667 0.3726  4 Pb 3.25-3.34
Bi 0.3333 0.6667 0.8690  3 Tl 3.22
Bi 0.6667 0.3333 0.1310  3 Tl 3.22
Bi 0.6667 0.3333 0.6274  4 Pb 3.25-3.34
Pb 0.3333 0.6667 0.5688  4 Bi 3.25-3.34
Pb 0.6667 0.3333 0.4312  4 Bi 3.25-3.34

Properties
E_tot   -3.495 eV/atom
Crystal system   trigonal
Spin magnetization   0.000 μB per formula unit

Record 5
A relaxed Ba2Tl6BiPb crystal. Source: the Alexandria database, functional PBE-GGA.

Lattice parameters (Å, degrees): 15.1846 15.1846 15.1846 30.36 30.36 30.36
With the nearest neighbours (Å) after each atom.
Fractional positions:
Ba 0.1114 0.1114 0.1114  12 Tl 4.09-4.40
Ba 0.2858 0.2858 0.2858  12 Tl 3.92-4.07
Ba 0.7142 0.7142 0.7142  12 Tl 3.92-4.07
Ba 0.8886 0.8886 0.8886  12 Tl 4.09-4.40
Tl 0.0642 0.6648 0.6648  1 Pb 3.16, 2 Tl 3.18, 1 Bi 3.24
Tl 0.2296 0.2296 0.6366  1 Pb 3.05, 1 Bi 3.22, 2 Tl 3.24
Tl 0.2296 0.6366 0.2296  1 Pb 3.05, 1 Bi 3.22, 2 Tl 3.24
Tl 0.3352 0.3352 0.9358  1 Pb 3.16, 2 Tl 3.18, 1 Bi 3.24
Tl 0.3352 0.9358 0.3352  1 Pb 3.16, 2 Tl 3.18, 1 Bi 3.24
Tl 0.3634 0.7704 0.7704  1 Pb 3.05, 1 Bi 3.22, 2 Tl 3.24
Tl 0.6366 0.2296 0.2296  1 Pb 3.05, 1 Bi 3.22, 2 Tl 3.24
Tl 0.6648 0.0642 0.6648  1 Pb 3.16, 2 Tl 3.18, 1 Bi 3.24
Tl 0.6648 0.6648 0.0642  1 Pb 3.16, 2 Tl 3.18, 1 Bi 3.24
Tl 0.7704 0.3634 0.7704  1 Pb 3.05, 1 Bi 3.22, 2 Tl 3.24
Tl 0.7704 0.7704 0.3634  1 Pb 3.05, 1 Bi 3.22, 2 Tl 3.24
Tl 0.9358 0.3352 0.3352  1 Pb 3.16, 2 Tl 3.18, 1 Bi 3.24
Bi 0.4256 0.4256 0.4256  6 Tl 3.22-3.24, 1 Pb 3.23
Bi 0.5744 0.5744 0.5744  6 Tl 3.22-3.24, 1 Pb 3.23
Pb 0.0000 0.0000 0.0000  6 Tl 3.05
Pb 0.5000 0.5000 0.5000  6 Tl 3.16, 2 Bi 3.23

Properties
E_tot   -2.636 eV/atom
Crystal system   trigonal
Spin magnetization   0.000 μB per formula unit

Record 6
A relaxed BaTl2Bi2Pb crystal. Source: the Alexandria database, functional PBE-GGA.

Lattice parameters (Å, degrees): 5.1919 10.2667 8.4628 90.00 90.00 90.00
With the nearest neighbours (Å) after each atom.
Fractional positions:
Ba 0.0000 0.0994 0.0000  5 Bi 3.62-3.71, 1 Tl 3.74, 2 Pb 4.03
Ba 0.0000 0.9006 0.5000  5 Bi 3.62-3.71, 1 Tl 3.74, 2 Pb 4.03
Tl 0.0000 0.3101 0.3613  4 Bi 3.24-3.43
Tl 0.0000 0.6899 0.8613  4 Bi 3.24-3.43
Tl 0.5000 0.4338 0.0573  4 Bi 3.54-3.81, 1 Pb 3.83, 2 Tl 3.87
Tl 0.5000 0.5662 0.5573  4 Bi 3.54-3.81, 1 Pb 3.83, 2 Tl 3.87
Bi 0.0000 0.3831 0.7338  4 Tl 3.24-3.54, 2 Pb 3.25
Bi 0.0000 0.6169 0.2338  4 Tl 3.24-3.54, 2 Pb 3.25
Bi 0.5000 0.0986 0.2980  2 Pb 3.22-3.32, 2 Tl 3.43
Bi 0.5000 0.9014 0.7980  2 Pb 3.22-3.32, 2 Tl 3.43
Pb 0.5000 0.2028 0.6573  4 Bi 3.22-3.32
Pb 0.5000 0.7972 0.1573  4 Bi 3.22-3.32

Properties
E_tot   -3.326 eV/atom
Crystal system   orthorhombic
Spin magnetization   0.000 μB per formula unit

Record 7
A relaxed BaZnBi2Pb crystal. Source: the Alexandria database, functional PBE-GGA.

Lattice parameters (Å, degrees): 6.0849 6.0849 5.3766 90.00 90.00 90.00
With the nearest neighbours (Å) after each atom.
Fractional positions:
Ba 0.0000 0.0000 0.0000  8 Bi 4.06, 4 Zn 4.30
Zn 0.5000 0.5000 0.0000  2 Pb 2.69
Bi 0.0000 0.5000 0.5000  2 Pb 3.04
Bi 0.5000 0.0000 0.5000  2 Pb 3.04
Pb 0.5000 0.5000 0.5000  2 Zn 2.69

Properties
E_tot   -2.913 eV/atom
Crystal system   tetragonal
Spin magnetization   0.000 μB per formula unit

Record 8
A relaxed BaBi2Pd8 crystal. Source: the Alexandria database, functional PBE-GGA.

Lattice parameters (Å, degrees): 5.4905 5.4905 9.2352 90.00 90.00 90.00
With the nearest neighbours (Å) after each atom.
Fractional positions:
Ba 0.0000 0.0000 0.0000  8 Pd 3.27
Bi 0.0000 0.5000 0.5000  8 Pd 2.79
Bi 0.5000 0.0000 0.5000  8 Pd 2.79
Pd 0.2529 0.2529 0.2836  4 Pd 2.71-2.78, 2 Bi 2.79
Pd 0.2529 0.2529 0.7164  4 Pd 2.71-2.78, 2 Bi 2.79
Pd 0.2529 0.7471 0.2836  4 Pd 2.71-2.78, 2 Bi 2.79
Pd 0.2529 0.7471 0.7164  4 Pd 2.71-2.78, 2 Bi 2.79
Pd 0.7471 0.2529 0.2836  4 Pd 2.71-2.78, 2 Bi 2.79
Pd 0.7471 0.2529 0.7164  4 Pd 2.71-2.78, 2 Bi 2.79
Pd 0.7471 0.7471 0.2836  4 Pd 2.71-2.78, 2 Bi 2.79
Pd 0.7471 0.7471 0.7164  4 Pd 2.71-2.78, 2 Bi 2.79

Properties
E_tot   -4.668 eV/atom
Crystal system   tetragonal
Spin magnetization   0.000 μB per formula unit

Going through the records in order, we get formation enthalpy at 0 K values of -255 605 -365 -455 -73 -305 21 -11 meV per atom.
Going through the records in order, we get density values of 8.01 6.00 8.14 7.79 8.03 8.62 6.91 8.39 g/cm³.